4
Lattice="1.499 0.866 8.046 -1.499 0.866 8.046 0.000 -1.731 8.046" Properties=species:S:1:pos:R:3 comment="MgTlNi2, PBEsol geometry, DFT SCAN" dft_energy_ev_per_atom=-27.07 pbc="T T T"
Mg 0.000 0.000 0.000
Tl 0.000 0.000 12.069
Ni 0.000 0.000 6.062
Ni 0.000 0.000 18.076

29
Lattice="-4.289 4.289 4.289 4.289 -4.289 4.289 4.289 4.289 -4.289" Properties=species:S:1:pos:R:3 comment="Zn5Co24, PBEsol geometry, DFT SCAN" dft_energy_ev_per_atom=-16.59 pbc="T T T"
Zn 0.000 0.000 0.000
Zn 2.736 2.736 -2.736
Zn 2.736 -2.736 2.736
Zn 1.553 1.553 1.553
Zn -2.736 2.736 2.736
Co 2.439 0.791 -0.791
Co 2.439 -0.791 0.791
Co 4.607 1.219 -1.219
Co 4.607 -1.219 1.219
Co 6.138 0.791 0.791
Co 0.791 2.439 -0.791
Co 0.791 -0.791 2.439
Co 3.970 1.219 1.219
Co 3.070 3.070 -0.318
Co 3.070 -0.318 3.070
Co -0.791 2.439 0.791
Co -0.791 0.791 2.439
Co 1.219 4.607 -1.219
Co 1.219 -1.219 4.607
Co 1.219 3.970 1.219
Co 1.219 1.219 3.970
Co 3.497 3.497 1.850
Co 3.497 1.850 3.497
Co -1.219 4.607 1.219
Co -1.219 1.219 4.607
Co -0.318 3.070 3.070
Co 0.791 6.138 0.791
Co 0.791 0.791 6.138
Co 1.850 3.497 3.497

5
Lattice="4.445 0.000 0.000 0.000 4.445 0.000 0.000 0.000 4.445" Properties=species:S:1:pos:R:3 comment="MnCuW3, PBEsol geometry, DFT SCAN" dft_energy_ev_per_atom=-46.61 pbc="T T T"
Mn 0.000 0.000 0.000
Cu 2.223 2.223 2.223
W 0.000 2.223 2.223
W 2.223 0.000 2.223
W 2.223 2.223 0.000

5
Lattice="4.789 0.000 0.000 0.000 4.789 0.000 0.000 0.000 4.789" Properties=species:S:1:pos:R:3 comment="GaRe3Te, PBEsol geometry, DFT SCAN" raw_formation_energy_ev_per_atom=2.67 pbc="T T T"
Ga 0.000 0.000 0.000
Re 0.000 2.395 2.395
Re 2.395 0.000 2.395
Re 2.395 2.395 0.000
Te 2.395 2.395 2.395

4
Lattice="1.744 1.007 8.670 -1.744 1.007 8.670 0.000 -2.013 8.670" Properties=species:S:1:pos:R:3 comment="ZrSnS2, PBEsol geometry, DFT SCAN" raw_formation_energy_ev_per_atom=-1.22 pbc="T T T"
Zr 0.000 0.000 0.000
Sn 0.000 0.000 13.005
S 0.000 0.000 10.230
S 0.000 0.000 15.780

5
Lattice="4.880 0.000 0.000 0.000 4.880 0.000 0.000 0.000 4.880" Properties=species:S:1:pos:R:3 comment="BiBSb3, PBEsol geometry, DFT SCAN" raw_formation_energy_ev_per_atom=0.71 pbc="T T T"
Bi 0.000 0.000 0.000
B 2.440 2.440 2.440
Sb 0.000 2.440 2.440
Sb 2.440 0.000 2.440
Sb 2.440 2.440 0.000

Sequential total magnetization output: 0.00 40.87 4.20 2.33 0.00 0.00 μB/f.u.
Sequential V output: 15.66 10.88 17.57 21.97 22.82 23.25 A^3/atom